1.
Entry from Alexandria: a relaxed structure of Rb2ZrCl6F (PBE).

Cell and atoms, written as POSCAR:
```
Rb2ZrCl6F
1.0
-4.011 4.011 4.547
4.011 -4.011 4.547
4.011 4.011 -4.547
Rb Zr Cl F
2 1 6 1
direct
0.250 0.750 0.500
0.750 0.250 0.500
0.000 0.000 0.000
0.221 0.221 0.442
0.221 0.779 0.000
0.264 0.264 0.000
0.736 0.736 0.000
0.779 0.221 0.000
0.779 0.779 0.558
0.500 0.500 0.000
```

The value obtained for the volume is 292.54 Å³ per cell. Its formation energy from raw total energies is -1.665 eV per atom. Its total magnetization is 0.00 μB/atom. For the density of states at the Fermi level, the calculation gives 1.92 states/eV/cell. Its symmetry is I4/mmm, No. 139. Its calculated total energy is -4.01 eV per atom.

=====

2.
Entry from Alexandria: a relaxed structure of Na2SrAlBi2 (PBE).

Cell and atoms, written as POSCAR:
```
Na2SrAlBi2
1.0
4.952 0.000 0.000
0.000 9.302 0.000
0.000 0.000 8.268
Na Sr Al Bi
4 2 2 4
direct
0.000 0.077 0.000
0.000 0.923 0.500
0.500 0.157 0.324
0.500 0.843 0.824
0.500 0.456 0.974
0.500 0.544 0.474
0.000 0.320 0.629
0.000 0.680 0.129
0.000 0.370 0.254
0.000 0.630 0.754
0.500 0.172 0.711
0.500 0.828 0.211
```

The value obtained for the volume is 380.86 Å³ per cell. The value obtained for the energy of formation is -403 meV/atom. Its total magnetization is 0.00 μB/atom. For the density of states at the Fermi level, the calculation gives 4.54 states/eV/cell. Its symmetry is Pmc2_1, No. 26. Its calculated total energy is -3.04 eV per atom.

=====

3.
Entry from Alexandria: a relaxed structure of LiInHgCl4 (PBE).

Cell and atoms, written as POSCAR:
```
LiInHgCl4
1.0
6.365 -3.846 0.000
6.365 3.846 0.000
-3.104 0.000 9.605
Li In Hg Cl
2 2 2 8
direct
0.237 0.237 0.224
0.763 0.763 0.776
0.143 0.143 0.778
0.857 0.857 0.222
0.435 0.435 0.733
0.565 0.565 0.267
0.039 0.039 0.197
0.089 0.585 0.354
0.278 0.278 0.005
0.415 0.911 0.646
0.585 0.089 0.354
0.722 0.722 0.995
0.911 0.415 0.646
0.961 0.961 0.803
```

The value obtained for the volume is 470.24 Å³ per cell. Its formation energy from raw total energies is -1.083 eV per atom. Its total magnetization is 0.00 μB/atom. For the density of states at the Fermi level, the calculation gives 0.00 states/eV/cell. Its symmetry is C2/m, No. 12. Its calculated total energy is -2.85 eV per atom.

=====

4.
Entry from Alexandria: a relaxed structure of Pm14SmTh (PBE).

Cell and atoms, written as POSCAR:
```
Pm14SmTh
1.0
7.286 0.000 0.000
0.000 7.286 0.000
0.000 0.000 10.333
Pm Sm Th
14 1 1
direct
0.000 0.000 0.000
0.000 0.500 0.000
0.000 0.500 0.500
0.247 0.247 0.252
0.247 0.247 0.748
0.247 0.753 0.252
0.247 0.753 0.748
0.500 0.000 0.000
0.500 0.000 0.500
0.500 0.500 0.000
0.753 0.247 0.252
0.753 0.247 0.748
0.753 0.753 0.252
0.753 0.753 0.748
0.500 0.500 0.500
0.000 0.000 0.500
```

The value obtained for the volume is 548.51 Å³ per cell. The value obtained for the energy of formation is 22 meV/atom. Its total magnetization is 0.00 μB/atom. For the density of states at the Fermi level, the calculation gives 23.77 states/eV/cell. Its symmetry is P4/mmm, No. 123. Its calculated total energy is -4.89 eV per atom.

=====

5.
Entry from Alexandria: a relaxed structure of Nd2TlNi (PBE).

Cell and atoms, written as POSCAR:
```
Nd2TlNi
1.0
0.000 3.740 3.740
3.740 0.000 3.740
3.740 3.740 0.000
Nd Tl Ni
2 1 1
direct
0.250 0.250 0.250
0.750 0.750 0.750
0.000 0.000 0.000
0.500 0.500 0.500
```

The value obtained for the volume is 104.66 Å³ per cell. The value obtained for the energy of formation is -172 meV/atom. The energy above the most stable polymorph in this dataset comes out at 117 meV/atom. Its total magnetization is 0.00 μB/atom. For the density of states at the Fermi level, the calculation gives 4.27 states/eV/cell. Its symmetry is Fm-3m, No. 225. Its calculated total energy is -4.59 eV per atom.

=====

6.
Entry from Alexandria: a relaxed structure of LaZnSi (PBE).

Cell and atoms, written as POSCAR:
```
LaZnSi
1.0
0.000 2.462 5.477
2.425 0.000 5.477
2.425 2.462 0.000
La Zn Si
1 1 1
direct
0.000 0.000 0.000
0.699 0.699 0.301
0.300 0.300 0.700
```

The value obtained for the volume is 65.40 Å³ per cell. Its formation energy from raw total energies is -0.202 eV per atom. Its total magnetization is 0.00 μB/atom. For the density of states at the Fermi level, the calculation gives 1.89 states/eV/cell. Its symmetry is Fmm2, No. 42. Its calculated total energy is -4.08 eV per atom.

=====

7.
Entry from Alexandria: a relaxed structure of Mg3TcPb (PBE).

Cell and atoms, written as POSCAR:
```
Mg3TcPb
1.0
5.054 0.000 0.000
0.000 5.054 0.000
0.000 0.000 5.054
Mg Tc Pb
3 1 1
direct
0.000 0.000 0.500
0.000 0.500 0.000
0.500 0.000 0.000
0.000 0.000 0.000
0.500 0.500 0.500
```

The value obtained for the volume is 129.09 Å³ per cell. The value obtained for the energy of formation is 612 meV/atom. The energy above the most stable polymorph in this dataset comes out at 0 meV/atom. Its total magnetization is 0.00 μB/atom. For the density of states at the Fermi level, the calculation gives 2.48 states/eV/cell. Its symmetry is Pm-3m, No. 221. Its calculated total energy is -3.16 eV per atom.